1.
## GaAg3Sb (PBE-GGA)

Data for an optimized crystal structure of GaAg3Sb.

Values from the calculation:
total moment = 0.000 μB/f.u.
ΔE to the lowest computed polymorph = 0.004 eV/atom
uncorrected formation energy = 0.46 eV/atom

Structure (CIF):
```
data_GaAg3Sb
_chemical_formula_sum 'Ga1 Ag3 Sb1'
_space_group_name_H-M_alt 'P 1'
_space_group_IT_number 1
_space_group_name_Hall 'P 1'
_cell_length_a 4.9033
_cell_length_b 4.9033
_cell_length_c 4.9033
_cell_angle_alpha 90.00
_cell_angle_beta 90.00
_cell_angle_gamma 90.00
loop_
_atom_site_label
_atom_site_type_symbol
_atom_site_fract_x
_atom_site_fract_y
_atom_site_fract_z
Sb1 Sb 0.5000 0.5000 0.5000
Ga1 Ga 0.0000 0.0000 0.0000
Ag1 Ag 0.0000 0.5000 0.0000
Ag2 Ag 0.0000 0.0000 0.5000
Ag3 Ag 0.5000 0.0000 0.0000
```

2.
## GaAg2Sb5 (PBE-GGA)

Data for an optimized crystal structure of GaAg2Sb5.

Values from the calculation:
total moment = 0.000 μB/f.u.
uncorrected formation energy = 0.11 eV/atom

Structure (CIF):
```
data_GaAg2Sb5
_chemical_formula_sum 'Ga1 Ag2 Sb5'
_space_group_name_H-M_alt 'P 1'
_space_group_IT_number 1
_space_group_name_Hall 'P 1'
_cell_length_a 8.2808
_cell_length_b 8.2808
_cell_length_c 6.6493
_cell_angle_alpha 128.96
_cell_angle_beta 128.96
_cell_angle_gamma 90.10
loop_
_atom_site_label
_atom_site_type_symbol
_atom_site_fract_x
_atom_site_fract_y
_atom_site_fract_z
Ga1 Ga 0.0910 0.0910 0.1825
Ag1 Ag 0.0999 0.5999 0.1993
Ag2 Ag 0.5999 0.0998 0.1993
Sb1 Sb 0.8555 0.3414 0.1964
Sb2 Sb 0.3456 0.3455 0.2060
Sb3 Sb 0.8502 0.8502 0.1861
Sb4 Sb 0.3413 0.8555 0.1964
Sb5 Sb 0.5937 0.5937 0.1879
```

3.
## Ga12Ag3Sb5 (PBE-GGA)

Data for an optimized crystal structure of Ga12Ag3Sb5.

Values from the calculation:
total moment = 0.000 μB/f.u.
uncorrected formation energy = 0.08 eV/atom

Structure (CIF):
```
data_Ga12Ag3Sb5
_chemical_formula_sum 'Ga48 Ag12 Sb20'
_space_group_name_H-M_alt 'P 1'
_space_group_IT_number 1
_space_group_name_Hall 'P 1'
_cell_length_a 13.7604
_cell_length_b 13.7604
_cell_length_c 13.7604
_cell_angle_alpha 109.47
_cell_angle_beta 109.47
_cell_angle_gamma 109.47
loop_
_atom_site_label
_atom_site_type_symbol
_atom_site_fract_x
_atom_site_fract_y
_atom_site_fract_z
Ag1 Ag 0.7500 0.3750 0.1250
Ag2 Ag 0.8750 0.7500 0.1250
Ag3 Ag 0.3750 0.7500 0.6250
Ag4 Ag 0.2500 0.1250 0.3750
Ag5 Ag 0.8750 0.1250 0.2500
Ag6 Ag 0.3750 0.6250 0.2500
Ag7 Ag 0.6250 0.3750 0.7500
Ag8 Ag 0.1250 0.8750 0.7500
Ag9 Ag 0.7500 0.8750 0.6250
Ag10 Ag 0.6250 0.2500 0.3750
Ag11 Ag 0.1250 0.2500 0.8750
Ag12 Ag 0.2500 0.6250 0.8750
Sb1 Sb 0.1250 0.3750 0.2500
Sb2 Sb 0.0000 0.5000 0.0000
Sb3 Sb 0.0000 0.0000 0.0000
Sb4 Sb 0.3750 0.2500 0.1250
Sb5 Sb 0.5000 0.0000 0.5000
Sb6 Sb 0.5000 0.5000 0.0000
Sb7 Sb 0.1250 0.7500 0.3750
Sb8 Sb 0.7500 0.1250 0.8750
Sb9 Sb 0.7500 0.6250 0.3750
Sb10 Sb 0.3750 0.1250 0.7500
Sb11 Sb 0.6250 0.8750 0.2500
Sb12 Sb 0.5000 0.5000 0.5000
Sb13 Sb 0.5000 0.0000 0.0000
Sb14 Sb 0.0000 0.0000 0.5000
Sb15 Sb 0.2500 0.3750 0.6250
Sb16 Sb 0.2500 0.8750 0.1250
Sb17 Sb 0.0000 0.5000 0.5000
Sb18 Sb 0.8750 0.2500 0.6250
Sb19 Sb 0.6250 0.7500 0.8750
Sb20 Sb 0.8750 0.6250 0.7500
Ga1 Ga 0.7432 0.1395 0.0738
Ga2 Ga 0.3307 0.5738 0.4343
Ga3 Ga 0.9262 0.3605 0.2568
Ga4 Ga 0.5738 0.2432 0.1395
Ga5 Ga 0.6036 0.7432 0.6693
Ga6 Ga 0.9262 0.5657 0.1693
Ga7 Ga 0.3307 0.7568 0.3964
Ga8 Ga 0.0657 0.8964 0.1395
Ga9 Ga 0.5657 0.9262 0.6693
Ga10 Ga 0.7432 0.6036 0.1693
Ga11 Ga 0.7568 0.4262 0.3605
Ga12 Ga 0.8307 0.9343 0.0738
Ga13 Ga 0.1395 0.7432 0.5738
Ga14 Ga 0.3605 0.4343 0.1036
Ga15 Ga 0.1036 0.9343 0.3605
Ga16 Ga 0.3964 0.1395 0.5657
Ga17 Ga 0.1036 0.1693 0.2432
Ga18 Ga 0.4262 0.6693 0.0657
Ga19 Ga 0.8307 0.8964 0.2568
Ga20 Ga 0.1395 0.3964 0.0657
Ga21 Ga 0.3605 0.9262 0.7568
Ga22 Ga 0.5657 0.6395 0.3964
Ga23 Ga 0.9343 0.8307 0.5738
Ga24 Ga 0.7568 0.3307 0.8964
Ga25 Ga 0.4343 0.3605 0.6036
Ga26 Ga 0.0657 0.1693 0.4262
Ga27 Ga 0.2432 0.6693 0.1036
Ga28 Ga 0.1693 0.1036 0.7432
Ga29 Ga 0.6395 0.0738 0.2432
Ga30 Ga 0.8605 0.6036 0.9343
Ga31 Ga 0.5738 0.3307 0.9343
Ga32 Ga 0.6036 0.8605 0.4343
Ga33 Ga 0.8964 0.8307 0.7568
Ga34 Ga 0.8964 0.0657 0.6395
Ga35 Ga 0.8605 0.2568 0.4262
Ga36 Ga 0.1693 0.0657 0.9262
Ga37 Ga 0.6395 0.5657 0.8964
Ga38 Ga 0.4343 0.0738 0.3307
Ga39 Ga 0.2568 0.3964 0.8307
Ga40 Ga 0.2432 0.5738 0.6395
Ga41 Ga 0.9343 0.1036 0.8605
Ga42 Ga 0.6693 0.2432 0.6036
Ga43 Ga 0.4262 0.7568 0.8605
Ga44 Ga 0.0738 0.4343 0.8307
Ga45 Ga 0.3964 0.2568 0.3307
Ga46 Ga 0.0738 0.6395 0.7432
Ga47 Ga 0.6693 0.4262 0.5657
Ga48 Ga 0.2568 0.8605 0.9262
```

4.
## GaAg14Sb (PBE-GGA)

Data for an optimized crystal structure of GaAg14Sb.

Values from the calculation:
total moment = 0.000 μB/f.u.
uncorrected formation energy = 0.04 eV/atom

Structure (CIF):
```
data_GaAg14Sb
_chemical_formula_sum 'Ga1 Ag14 Sb1'
_space_group_name_H-M_alt 'P 1'
_space_group_IT_number 1
_space_group_name_Hall 'P 1'
_cell_length_a 5.9641
_cell_length_b 5.9641
_cell_length_c 9.5343
_cell_angle_alpha 90.00
_cell_angle_beta 90.00
_cell_angle_gamma 120.05
loop_
_atom_site_label
_atom_site_type_symbol
_atom_site_fract_x
_atom_site_fract_y
_atom_site_fract_z
Ga1 Ga 0.5311 0.4689 0.5000
Ag1 Ag 0.2089 0.7911 0.0000
Ag2 Ag 0.7096 0.2904 0.0000
Ag3 Ag 0.0358 0.4564 0.5000
Ag4 Ag 0.2102 0.2924 0.0000
Ag5 Ag 0.5436 0.9642 0.5000
Ag6 Ag 0.7076 0.7898 0.0000
Ag7 Ag 0.3817 0.1281 0.7536
Ag8 Ag 0.3817 0.1281 0.2464
Ag9 Ag 0.8719 0.6183 0.7536
Ag10 Ag 0.8719 0.6183 0.2464
Ag11 Ag 0.3759 0.6241 0.7492
Ag12 Ag 0.3759 0.6241 0.2508
Ag13 Ag 0.8750 0.1250 0.7549
Ag14 Ag 0.8750 0.1250 0.2451
Sb1 Sb 0.0441 0.9559 0.5000
```

5.
## Ga2Ag8Sb (PBE-GGA)

Data for an optimized crystal structure of Ga2Ag8Sb.

Values from the calculation:
total moment = 0.000 μB/f.u.
uncorrected formation energy = 0.07 eV/atom

Structure (CIF):
```
data_Ga2Ag8Sb
_chemical_formula_sum 'Ga2 Ag8 Sb1'
_space_group_name_H-M_alt 'P 1'
_space_group_IT_number 1
_space_group_name_Hall 'P 1'
_cell_length_a 4.8973
_cell_length_b 7.4408
_cell_length_c 7.3282
_cell_angle_alpha 59.49
_cell_angle_beta 78.64
_cell_angle_gamma 67.17
loop_
_atom_site_label
_atom_site_type_symbol
_atom_site_fract_x
_atom_site_fract_y
_atom_site_fract_z
Ga1 Ga 0.0000 0.3061 0.3878
Ga2 Ga 0.0000 0.6939 0.6122
Ag1 Ag 0.8666 0.0924 0.2347
Ag2 Ag 0.8666 0.3271 0.7653
Ag3 Ag 0.3023 0.4085 0.0000
Ag4 Ag 0.5000 0.7734 0.4532
Ag5 Ag 0.5000 0.2266 0.5468
Ag6 Ag 0.6977 0.5915 0.0000
Ag7 Ag 0.1334 0.6729 0.2347
Ag8 Ag 0.1334 0.9076 0.7653
Sb1 Sb 0.5000 0.0000 0.0000
```

6.
## GaAgSb3 (PBE-GGA)

Data for an optimized crystal structure of GaAgSb3.

Values from the calculation:
total moment = 0.000 μB/f.u.
ΔE to the lowest computed polymorph = 0.000 eV/atom
uncorrected formation energy = 0.64 eV/atom

Structure (CIF):
```
data_GaAgSb3
_chemical_formula_sum 'Ga1 Ag1 Sb3'
_space_group_name_H-M_alt 'P 1'
_space_group_IT_number 1
_space_group_name_Hall 'P 1'
_cell_length_a 5.4248
_cell_length_b 5.4248
_cell_length_c 5.4248
_cell_angle_alpha 90.00
_cell_angle_beta 90.00
_cell_angle_gamma 90.00
loop_
_atom_site_label
_atom_site_type_symbol
_atom_site_fract_x
_atom_site_fract_y
_atom_site_fract_z
Sb1 Sb 0.0000 0.5000 0.0000
Sb2 Sb 0.0000 0.0000 0.5000
Sb3 Sb 0.5000 0.0000 0.0000
Ga1 Ga 0.5000 0.5000 0.5000
Ag1 Ag 0.0000 0.0000 0.0000
```

7.
## GaAgSb2 (PBE-GGA)

Data for an optimized crystal structure of GaAgSb2.

Values from the calculation:
total moment = 0.000 μB/f.u.
uncorrected formation energy = 0.13 eV/atom

Structure (CIF):
```
data_GaAgSb2
_chemical_formula_sum 'Ga2 Ag2 Sb4'
_space_group_name_H-M_alt 'P 1'
_space_group_IT_number 1
_space_group_name_Hall 'P 1'
_cell_length_a 6.3812
_cell_length_b 6.3812
_cell_length_c 7.4772
_cell_angle_alpha 64.74
_cell_angle_beta 64.74
_cell_angle_gamma 90.00
loop_
_atom_site_label
_atom_site_type_symbol
_atom_site_fract_x
_atom_site_fract_y
_atom_site_fract_z
Sb1 Sb 0.6188 0.1250 0.2500
Sb2 Sb 0.1312 0.6250 0.2500
Sb3 Sb 0.3750 0.3812 0.7500
Sb4 Sb 0.8750 0.8688 0.7500
Ga1 Ga 0.5000 0.5000 0.0000
Ga2 Ga 0.2500 0.7500 0.5000
Ag1 Ag 0.0000 0.0000 0.0000
Ag2 Ag 0.7500 0.2500 0.5000
```

8.
## GaAg4Sb (PBE-GGA)

Data for an optimized crystal structure of GaAg4Sb.

Values from the calculation:
total moment = 0.000 μB/f.u.
ΔE to the lowest computed polymorph = 0.000 eV/atom
uncorrected formation energy = 0.06 eV/atom

Structure (CIF):
```
data_GaAg4Sb
_chemical_formula_sum 'Ga2 Ag8 Sb2'
_space_group_name_H-M_alt 'P 1'
_space_group_IT_number 1
_space_group_name_Hall 'P 1'
_cell_length_a 5.0903
_cell_length_b 7.8431
_cell_length_c 6.5052
_cell_angle_alpha 90.00
_cell_angle_beta 65.88
_cell_angle_gamma 90.00
loop_
_atom_site_label
_atom_site_type_symbol
_atom_site_fract_x
_atom_site_fract_y
_atom_site_fract_z
Ga1 Ga 0.5000 0.0000 0.5000
Ga2 Ga 0.0000 0.5000 0.5000
Ag1 Ag 0.9020 0.6533 0.1693
Ag2 Ag 0.5980 0.1533 0.8307
Ag3 Ag 0.6010 0.3356 0.3779
Ag4 Ag 0.8990 0.8356 0.6221
Ag5 Ag 0.0980 0.3467 0.8307
Ag6 Ag 0.4020 0.8467 0.1693
Ag7 Ag 0.3990 0.6644 0.6221
Ag8 Ag 0.1010 0.1645 0.3779
Sb1 Sb 0.0000 0.0000 0.0000
Sb2 Sb 0.5000 0.5000 0.0000
```

| no. | N(E_F) (states/eV per atom) |
| --- | --- |
| 1 | 0.634 |
| 2 | 0.486 |
| 3 | 0.367 |
| 4 | 0.275 |
| 5 | 0.361 |
| 6 | 0.770 |
| 7 | 0.504 |
| 8 | 0.326 |